First-principles (PBE) data for a geometry-optimized Pm4NdTm6 structure, as listed in Alexandria via LeMat-Bulk.

Cell: 6.6365 6.6365 16.8931 Å, 90.00 90.00 90.00°
Closest atoms and distances in Å follow each position.
Space group I-42m (No. 121)
Inequivalent atoms, fractional coordinates:
1 Pm 0.1896 0.1896 0.1752 x8  5 Tm 3.37-3.61, 1 Nd 3.45, 1 Pm 3.56
2 Nd 0.0000 0.0000 0.0000 x2  8 Tm 3.32-3.69, 4 Pm 3.45
3 Tm 0.0000 0.5000 0.0000 x4  4 Tm 3.23, 2 Nd 3.32
4 Tm 0.1781 0.1781 0.3746 x8  3 Tm 3.23-3.34, 5 Pm 3.37-3.61

The crystal system is tetragonal. For the magnetization, the calculation gives 0.000 μB per formula unit. The calculation puts the uncorrected energy at -4.29 eV per atom.